## HfW2O8 (PBE with a Hubbard U)

Data for a geometry-optimized HfW2O8 structure.

The structure belongs to space group P2_13 (No. 198); the cell edges are 9.290, 9.290 and 9.290 Å and the angles 90.00°, 90.00° and 90.00°. Symmetry generates all atoms from Hf at (0.248, 0.252, 0.748), W at (0.094, 0.094, 0.094), W at (0.150, 0.650, 0.850), O at (0.014, 0.486, 0.514), O at (0.039, 0.195, 0.682), O at (0.047, 0.698, 0.309) and O at (0.240, 0.240, 0.240).

Its volume is 802 Å³/cell. The value obtained for the total energy is -8.171 eV/atom.